Record 1
# PBE GaMoPb2, optimized geometry
data_GaMoPb2
_cell_length_a 7.835
_cell_length_b 7.835
_cell_length_c 7.835
_cell_angle_alpha 95.96
_cell_angle_beta 95.96
_cell_angle_gamma 142.41
_symmetry_space_group_name_H-M 'P 1'
_symmetry_Int_Tables_number 1
loop_
_symmetry_equiv_pos_as_xyz
'x,y,z'
loop_
_atom_site_label
_atom_site_type_symbol
_atom_site_fract_x
_atom_site_fract_y
_atom_site_fract_z
Ga1 Ga 0.000 0.000 0.000
Ga2 Ga 0.750 0.250 0.500
Mo1 Mo 0.250 0.750 0.500
Mo2 Mo 0.500 0.500 0.000
Pb1 Pb 0.374 0.625 0.249
Pb2 Pb 0.375 0.624 0.749
Pb3 Pb 0.376 0.125 0.751
Pb4 Pb 0.875 0.626 0.251
# Space group ... I-42d



Record 2
# PBE GaMoRh2Pb, optimized geometry
data_GaMoRh2Pb
_cell_length_a 4.965
_cell_length_b 4.965
_cell_length_c 5.193
_cell_angle_alpha 90.00
_cell_angle_beta 90.00
_cell_angle_gamma 90.00
_symmetry_space_group_name_H-M 'P 1'
_symmetry_Int_Tables_number 1
loop_
_symmetry_equiv_pos_as_xyz
'x,y,z'
loop_
_atom_site_label
_atom_site_type_symbol
_atom_site_fract_x
_atom_site_fract_y
_atom_site_fract_z
Ga1 Ga 0.000 0.000 0.000
Mo1 Mo 0.500 0.500 0.000
Rh1 Rh 0.000 0.500 0.500
Rh2 Rh 0.500 0.000 0.500
Pb1 Pb 0.500 0.500 0.500
# Space group ... P4/mmm



Record 3
# PBE Ga2MoPd, optimized geometry
data_Ga2MoPd
_cell_length_a 5.621
_cell_length_b 5.621
_cell_length_c 5.621
_cell_angle_alpha 104.95
_cell_angle_beta 104.95
_cell_angle_gamma 118.95
_symmetry_space_group_name_H-M 'P 1'
_symmetry_Int_Tables_number 1
loop_
_symmetry_equiv_pos_as_xyz
'x,y,z'
loop_
_atom_site_label
_atom_site_type_symbol
_atom_site_fract_x
_atom_site_fract_y
_atom_site_fract_z
Ga1 Ga 0.112 0.625 0.987
Ga2 Ga 0.375 0.362 0.487
Ga3 Ga 0.638 0.125 0.013
Ga4 Ga 0.875 0.888 0.513
Mo1 Mo 0.250 0.750 0.500
Mo2 Mo 0.500 0.500 0.000
Pd1 Pd 0.000 0.000 0.000
Pd2 Pd 0.750 0.250 0.500
# Space group ... I-42d



Record 4
# PBE Ga2MoPd, optimized geometry
data_Ga2MoPd
_cell_length_a 4.401
_cell_length_b 4.401
_cell_length_c 4.401
_cell_angle_alpha 60.00
_cell_angle_beta 60.00
_cell_angle_gamma 60.00
_symmetry_space_group_name_H-M 'P 1'
_symmetry_Int_Tables_number 1
loop_
_symmetry_equiv_pos_as_xyz
'x,y,z'
loop_
_atom_site_label
_atom_site_type_symbol
_atom_site_fract_x
_atom_site_fract_y
_atom_site_fract_z
Ga1 Ga 0.250 0.250 0.250
Ga2 Ga 0.750 0.750 0.750
Mo1 Mo 0.000 0.000 0.000
Pd1 Pd 0.500 0.500 0.500
# Space group ... Fm-3m



Record 5
# PBE GaMoPd2, optimized geometry
data_GaMoPd2
_cell_length_a 9.458
_cell_length_b 9.458
_cell_length_c 9.458
_cell_angle_alpha 156.76
_cell_angle_beta 156.76
_cell_angle_gamma 33.10
_symmetry_space_group_name_H-M 'P 1'
_symmetry_Int_Tables_number 1
loop_
_symmetry_equiv_pos_as_xyz
'x,y,z'
loop_
_atom_site_label
_atom_site_type_symbol
_atom_site_fract_x
_atom_site_fract_y
_atom_site_fract_z
Ga1 Ga 0.000 0.000 0.000
Ga2 Ga 0.750 0.250 0.500
Mo1 Mo 0.250 0.750 0.500
Mo2 Mo 0.500 0.500 0.000
Pd1 Pd 0.122 0.625 0.997
Pd2 Pd 0.375 0.372 0.497
Pd3 Pd 0.628 0.125 0.003
Pd4 Pd 0.875 0.878 0.503
# Space group ... I-42d



Record 6
# PBE Ga3MoPd, optimized geometry
data_Ga3MoPd
_cell_length_a 4.840
_cell_length_b 4.840
_cell_length_c 4.840
_cell_angle_alpha 90.00
_cell_angle_beta 90.00
_cell_angle_gamma 90.00
_symmetry_space_group_name_H-M 'P 1'
_symmetry_Int_Tables_number 1
loop_
_symmetry_equiv_pos_as_xyz
'x,y,z'
loop_
_atom_site_label
_atom_site_type_symbol
_atom_site_fract_x
_atom_site_fract_y
_atom_site_fract_z
Ga1 Ga 0.000 0.000 0.500
Ga2 Ga 0.000 0.500 0.000
Ga3 Ga 0.500 0.000 0.000
Mo1 Mo 0.000 0.000 0.000
Pd1 Pd 0.500 0.500 0.500
# Space group ... Pm-3m



Number 1: E -4.831 eV per atom. Number 2: E -4.757 eV per atom. Number 3: E -5.398 eV per atom. Number 4: E -5.679 eV per atom. Number 5: E -5.911 eV per atom. Number 6: E -4.410 eV per atom.